Record 1
{"formula": "ZrReRu2", "functional": "SCAN", "state": "single point on PBEsol structure", "dos_at_fermi_per_ev_atom": 0.9624, "ef_ev_per_atom": -0.006, "magnetic_moment_mub_per_cell": 0.00, "de_polymorph_ev_per_fu": 0.294, "energy_ev_per_atom": -42.868, "lattice": [[-3.2260, 0.6475, -2.0293], [1.9072, -0.7624, -3.2750], [-0.3482, -3.9085, 2.9886]], "species": ["Re", "Ru", "Ru", "Zr"], "frac_coords": [[0.2500, 0.7500, 0.5000], [0.0000, 0.0000, 0.0000], [0.7500, 0.2500, 0.5000], [0.5000, 0.5000, 0.0000]]}

---

Record 2
{"formula": "CaMn2Au", "functional": "SCAN", "state": "single point on PBEsol structure", "dos_at_fermi_per_ev_atom": 0.5835, "ef_ev_per_atom": -0.094, "magnetic_moment_mub_per_cell": 8.31, "energy_ev_per_atom": -28.927, "lattice": [[-1.1546, -3.1126, -0.2620], [3.5247, -0.9240, -3.7050], [3.0484, -1.4044, 3.2503]], "species": ["Ca", "Mn", "Mn", "Au"], "frac_coords": [[0.5000, 0.0000, 0.5000], [0.0088, 0.2506, 0.0000], [0.9912, 0.7494, 0.0000], [0.0000, 0.5000, 0.5000]]}

---

Record 3
{"formula": "GaRePdI2", "functional": "SCAN", "state": "single point on PBEsol structure", "dos_at_fermi_per_ev_atom": 0.4267, "magnetic_moment_mub_per_cell": 5.71, "formation_energy_uncorrected_mev_per_atom": 1234, "energy_ev_per_atom": -37.506, "lattice": [[-0.9397, 4.5362, -1.1008], [-0.1242, -1.3183, -5.3264], [-5.3791, -1.0224, 0.3785]], "species": ["I", "I", "Re", "Ga", "Pd"], "frac_coords": [[0.0000, 0.0000, 0.5000], [0.0000, 0.5000, 0.0000], [0.5000, 0.5000, 0.5000], [0.5000, 0.0000, 0.0000], [0.0000, 0.0000, 0.0000]]}

---

Record 4
{"formula": "CdAs2Ru", "functional": "SCAN", "state": "single point on PBEsol structure", "dos_at_fermi_per_ev_atom": 0.8024, "ef_ev_per_atom": 0.345, "magnetic_moment_mub_per_cell": 0.00, "energy_ev_per_atom": -26.061, "lattice": [[-1.6902, -0.9206, 2.5967], [3.9368, -0.7061, 2.3121], [-1.0560, 4.4113, 0.8765]], "species": ["Ru", "As", "As", "Cd"], "frac_coords": [[0.5000, 0.5000, 0.5000], [0.0000, 0.5000, 0.0000], [0.0000, 0.0000, 0.5000], [0.5000, 0.0000, 0.0000]]}